The following is a DFT calculation (GGA-PBE) of a relaxed structure of YHoInOs.

Computed properties:
SG ... F-43m
Energy relative to the elements ... -0.250 eV per atom
Final energy ... -26.01 eV per formula unit

abc: 5.0345 5.0345 5.0345
angles: 60.00 60.00 60.00
With the nearest neighbours (Å) after each atom.
Atoms (fractional coordinates):
Y1 0.7500 0.7500 0.7500  4 In 3.08, 4 Os 3.08
Os1 0.5000 0.5000 0.5000  4 Ho 3.08, 4 Y 3.08
Ho1 0.2500 0.2500 0.2500  4 In 3.08, 4 Os 3.08
In1 0.0000 0.0000 0.0000  4 Ho 3.08, 4 Y 3.08